Here is TlRhPbO6 after structural relaxation from Alexandria via LeMat-Bulk. Energies are from PBE.

CIF file:
```
data_TlRhPbO6
_chemical_formula_sum 'Tl2 Rh2 Pb2 O12'
_space_group_name_H-M_alt 'P -3 1 c'
_space_group_IT_number 163
_space_group_name_Hall '-P 3 2c'
_cell_length_a 5.5475
_cell_length_b 5.5475
_cell_length_c 9.1921
_cell_angle_alpha 90.00
_cell_angle_beta 90.00
_cell_angle_gamma 120.00
loop_
_atom_site_label
_atom_site_fract_x
_atom_site_fract_y
_atom_site_fract_z
Tl1 0.0000 0.0000 0.0000
Rh1 0.3333 0.6667 0.2500
Pb1 0.3333 0.6667 0.7500
O1 0.0323 0.3776 0.1296
```

## Properties
- Volume: 13.610 Å³/atom
- Formation energy (no corrections): -0.6095 eV/atom

=====

Here is Hg2Br2O after structural relaxation from Alexandria via LeMat-Bulk. Energies are from PBE.

CIF file:
```
data_Hg2Br2O
_chemical_formula_sum 'Hg4 Br4 O2'
_space_group_name_H-M_alt 'P -1'
_space_group_IT_number 2
_space_group_name_Hall '-P 1'
_cell_length_a 4.222
_cell_length_b 7.712
_cell_length_c 10.160
_cell_angle_alpha 76.15
_cell_angle_beta 79.18
_cell_angle_gamma 79.18
loop_
_atom_site_label
_atom_site_fract_x
_atom_site_fract_y
_atom_site_fract_z
Hg1 0.101 0.066 0.170
Hg2 0.286 0.798 0.490
Br1 0.234 0.241 0.936
Br2 0.358 0.395 0.346
O1 0.059 0.054 0.633
```

## Properties
- Volume: 31.195 Å³/atom
- Formation energy (no corrections): -0.3681 eV/atom
- Excess energy over the best structure of this formula in the dataset: 0 meV/atom

=====

Here is Mn2MoIr after structural relaxation from Alexandria via LeMat-Bulk. Energies are from PBE.

CIF file:
```
data_Mn2MoIr
_chemical_formula_sum 'Mn2 Mo1 Ir1'
_space_group_name_H-M_alt 'P 4/m m m'
_space_group_IT_number 123
_space_group_name_Hall '-P 4 2'
_cell_length_a 3.800
_cell_length_b 3.800
_cell_length_c 3.690
_cell_angle_alpha 90.00
_cell_angle_beta 90.00
_cell_angle_gamma 90.00
loop_
_atom_site_label
_atom_site_fract_x
_atom_site_fract_y
_atom_site_fract_z
Mn1 0.000 0.500 0.000
Mo1 0.000 0.000 0.500
Ir1 0.500 0.500 0.500
```

## Properties
- Final energy: -9.5881 eV/atom
- Volume: 13.321 Å³/atom

=====

Here is CeCr3Ge3 after structural relaxation from Alexandria via LeMat-Bulk. Energies are from PBE.

CIF file:
```
data_CeCr3Ge3
_chemical_formula_sum 'Ce2 Cr6 Ge6'
_space_group_name_H-M_alt 'P m -3 n'
_space_group_IT_number 223
_space_group_name_Hall '-P 4n 2 3'
_cell_length_a 6.782
_cell_length_b 6.782
_cell_length_c 6.782
_cell_angle_alpha 90.00
_cell_angle_beta 90.00
_cell_angle_gamma 90.00
loop_
_atom_site_label
_atom_site_fract_x
_atom_site_fract_y
_atom_site_fract_z
Ce1 0.000 0.000 0.000
Cr1 0.000 0.250 0.500
Ge1 0.000 0.500 0.250
```

## Properties
- Final energy: -6.5824 eV/atom
- Volume: 22.284 Å³/atom

=====

Here is LiCuAu5 after structural relaxation from Alexandria via LeMat-Bulk. Energies are from PBE.

CIF file:
```
data_LiCuAu5
_chemical_formula_sum 'Li1 Cu1 Au5'
_space_group_name_H-M_alt 'P 4/m m m'
_space_group_IT_number 123
_space_group_name_Hall '-P 4 2'
_cell_length_a 4.083
_cell_length_b 4.083
_cell_length_c 7.337
_cell_angle_alpha 90.00
_cell_angle_beta 90.00
_cell_angle_gamma 90.00
loop_
_atom_site_label
_atom_site_fract_x
_atom_site_fract_y
_atom_site_fract_z
Li1 0.000 0.000 0.000
Cu1 0.500 0.500 0.500
Au1 0.000 0.500 0.276
Au2 0.500 0.500 0.000
```

## Properties
- Final energy: -3.3842 eV/atom
- Volume: 17.473 Å³/atom

=====

Here is PrAlAu2 after structural relaxation from Alexandria via LeMat-Bulk. Energies are from PBE.

CIF file:
```
data_PrAlAu2
_chemical_formula_sum 'Pr1 Al1 Au2'
_space_group_name_H-M_alt 'P 4/m m m'
_space_group_IT_number 123
_space_group_name_Hall '-P 4 2'
_cell_length_a 3.304
_cell_length_b 3.304
_cell_length_c 7.551
_cell_angle_alpha 90.00
_cell_angle_beta 90.00
_cell_angle_gamma 90.00
loop_
_atom_site_label
_atom_site_fract_x
_atom_site_fract_y
_atom_site_fract_z
Pr1 0.000 0.000 0.000
Al1 0.000 0.000 0.500
Au1 0.500 0.500 0.299
```

## Properties
- Final energy: -4.2977 eV/atom
- Volume: 20.611 Å³/atom

=====

Here is BaSr5 after structural relaxation from Alexandria via LeMat-Bulk. Energies are from PBE.

CIF file:
```
data_BaSr5
_chemical_formula_sum 'Ba2 Sr10'
_space_group_name_H-M_alt 'C 1 m 1'
_space_group_IT_number 8
_space_group_name_Hall 'C -2y'
_cell_length_a 15.216
_cell_length_b 4.794
_cell_length_c 9.512
_cell_angle_alpha 90.00
_cell_angle_beta 108.16
_cell_angle_gamma 90.00
loop_
_atom_site_label
_atom_site_fract_x
_atom_site_fract_y
_atom_site_fract_z
Ba1 0.000 0.000 0.000
Sr1 0.168 0.500 0.338
Sr2 0.168 0.500 0.829
Sr3 0.330 0.000 0.167
Sr4 0.332 0.000 0.663
Sr5 0.499 0.500 0.498
```

## Properties
- Volume: 54.946 Å³/atom
- Excess energy over the best structure of this formula in the dataset: 4 meV/atom

=====

Here is PmGdTlAu after structural relaxation from Alexandria via LeMat-Bulk. Energies are from PBE.

CIF file:
```
data_PmGdTlAu
_chemical_formula_sum 'Pm4 Gd4 Tl4 Au4'
_space_group_name_H-M_alt 'F -4 3 m'
_space_group_IT_number 216
_space_group_name_Hall 'F -4 2 3'
_cell_length_a 7.529
_cell_length_b 7.529
_cell_length_c 7.529
_cell_angle_alpha 90.00
_cell_angle_beta 90.00
_cell_angle_gamma 90.00
loop_
_atom_site_label
_atom_site_fract_x
_atom_site_fract_y
_atom_site_fract_z
Pm1 0.000 0.000 0.000
Gd1 0.000 0.000 0.500
Tl1 0.250 0.250 0.250
Au1 0.250 0.250 0.750
```

## Properties
- Final energy: -6.6738 eV/atom
- Volume: 26.678 Å³/atom

=====

Here is KTlHgS after structural relaxation from Alexandria via LeMat-Bulk. Energies are from PBE.

CIF file:
```
data_KTlHgS
_chemical_formula_sum 'K4 Tl4 Hg4 S4'
_space_group_name_H-M_alt 'F -4 3 m'
_space_group_IT_number 216
_space_group_name_Hall 'F -4 2 3'
_cell_length_a 7.737
_cell_length_b 7.737
_cell_length_c 7.737
_cell_angle_alpha 90.00
_cell_angle_beta 90.00
_cell_angle_gamma 90.00
loop_
_atom_site_label
_atom_site_fract_x
_atom_site_fract_y
_atom_site_fract_z
K1 0.000 0.000 0.000
Tl1 0.000 0.000 0.500
Hg1 0.250 0.250 0.750
S1 0.250 0.250 0.250
```

## Properties
- Volume: 28.948 Å³/atom
- Formation energy (no corrections): -0.4357 eV/atom

=====

Here is FeCuNi2Ir after structural relaxation from Alexandria via LeMat-Bulk. Energies are from PBE.

CIF file:
```
data_FeCuNi2Ir
_chemical_formula_sum 'Fe1 Cu1 Ni2 Ir1'
_space_group_name_H-M_alt 'P 4/m m m'
_space_group_IT_number 123
_space_group_name_Hall '-P 4 2'
_cell_length_a 4.183
_cell_length_b 4.183
_cell_length_c 4.256
_cell_angle_alpha 90.00
_cell_angle_beta 90.00
_cell_angle_gamma 90.00
loop_
_atom_site_label
_atom_site_fract_x
_atom_site_fract_y
_atom_site_fract_z
Fe1 0.000 0.000 0.000
Cu1 0.000 0.000 0.500
Ni1 0.000 0.500 0.500
Ir1 0.500 0.500 0.000
```

## Properties
- Final energy: -5.3539 eV/atom
- Volume: 14.895 Å³/atom

=====

Here is NdZrTe2 after structural relaxation from Alexandria via LeMat-Bulk. Energies are from PBE.

CIF file:
```
data_NdZrTe2
_chemical_formula_sum 'Nd3 Zr3 Te6'
_space_group_name_H-M_alt 'R -3 m'
_space_group_IT_number 166
_space_group_name_Hall '-R 3 2"'
_cell_length_a 3.9426
_cell_length_b 3.9426
_cell_length_c 29.8529
_cell_angle_alpha 90.00
_cell_angle_beta 90.00
_cell_angle_gamma 120.00
loop_
_atom_site_label
_atom_site_fract_x
_atom_site_fract_y
_atom_site_fract_z
Nd1 0.0000 0.0000 0.0000
Zr1 0.0000 0.0000 0.5000
Te1 0.0000 0.0000 0.1053
```

## Properties
- Volume: 33.488 Å³/atom
- Formation energy (no corrections): -0.6448 eV/atom
- Excess energy over the best structure of this formula in the dataset: 349 meV/atom

=====

Here is LiCdIr after structural relaxation from Alexandria via LeMat-Bulk. Energies are from PBE.

CIF file:
```
data_LiCdIr
_chemical_formula_sum 'Li3 Cd3 Ir3'
_space_group_name_H-M_alt 'P -6 2 m'
_space_group_IT_number 189
_space_group_name_Hall 'P -6 -2'
_cell_length_a 6.6728
_cell_length_b 6.6728
_cell_length_c 4.5394
_cell_angle_alpha 90.00
_cell_angle_beta 90.00
_cell_angle_gamma 120.00
loop_
_atom_site_label
_atom_site_fract_x
_atom_site_fract_y
_atom_site_fract_z
Li1 0.0000 0.4329 0.0000
Cd1 0.0000 0.0000 0.0000
Cd2 0.3333 0.6667 0.5000
Ir1 0.0000 0.7728 0.5000
```

## Properties
- Volume: 19.449 Å³/atom
- Excess energy over the best structure of this formula in the dataset: 238 meV/atom

=====

Here is Na2UTiO6 after structural relaxation from Alexandria via LeMat-Bulk. Energies are from PBE.

CIF file:
```
data_Na2UTiO6
_chemical_formula_sum 'Na4 U2 Ti2 O12'
_space_group_name_H-M_alt 'C 1 2/m 1'
_space_group_IT_number 12
_space_group_name_Hall '-C 2y'
_cell_length_a 9.676
_cell_length_b 5.710
_cell_length_c 5.624
_cell_angle_alpha 90.00
_cell_angle_beta 125.09
_cell_angle_gamma 90.00
loop_
_atom_site_label
_atom_site_fract_x
_atom_site_fract_y
_atom_site_fract_z
Na1 0.250 0.000 0.236
U1 0.000 0.000 0.500
Ti1 0.000 0.500 0.000
O1 0.045 0.257 0.802
O2 0.244 0.500 0.329
```

## Properties
- Volume: 12.711 Å³/atom
- Formation energy (no corrections): -2.7293 eV/atom

=====

Here is Y2ZrTe after structural relaxation from Alexandria via LeMat-Bulk. Energies are from PBE.

CIF file:
```
data_Y2ZrTe
_chemical_formula_sum 'Y6 Zr3 Te3'
_space_group_name_H-M_alt 'R -3 m'
_space_group_IT_number 166
_space_group_name_Hall '-R 3 2"'
_cell_length_a 3.7485
_cell_length_b 3.7485
_cell_length_c 28.6568
_cell_angle_alpha 90.00
_cell_angle_beta 90.00
_cell_angle_gamma 120.00
loop_
_atom_site_label
_atom_site_fract_x
_atom_site_fract_y
_atom_site_fract_z
Y1 0.0000 0.0000 0.2434
Zr1 0.0000 0.0000 0.0000
Te1 0.0000 0.0000 0.5000
```

## Properties
- Volume: 29.059 Å³/atom
- Formation energy (no corrections): -0.4192 eV/atom

=====

Here is NiB after structural relaxation from Alexandria via LeMat-Bulk. Energies are from PBE.

CIF file:
```
data_NiB
_chemical_formula_sum 'Ni8 B8'
_space_group_name_H-M_alt 'P 4/m c c'
_space_group_IT_number 124
_space_group_name_Hall '-P 4 2c'
_cell_length_a 7.033
_cell_length_b 7.033
_cell_length_c 3.692
_cell_angle_alpha 90.00
_cell_angle_beta 90.00
_cell_angle_gamma 90.00
loop_
_atom_site_label
_atom_site_fract_x
_atom_site_fract_y
_atom_site_fract_z
Ni1 0.119 0.380 0.000
B1 0.165 0.293 0.500
```

## Properties
- Final energy: -6.0062 eV/atom
- Volume: 11.413 Å³/atom

=====

Here is UTc12P6 after structural relaxation from Alexandria via LeMat-Bulk. Energies are from PBE.

CIF file:
```
data_UTc12P6
_chemical_formula_sum 'U3 Tc36 P18'
_space_group_name_H-M_alt 'R -3 m'
_space_group_IT_number 166
_space_group_name_Hall '-R 3 2"'
_cell_length_a 10.8047
_cell_length_b 10.8047
_cell_length_c 8.5646
_cell_angle_alpha 90.00
_cell_angle_beta 90.00
_cell_angle_gamma 120.00
loop_
_atom_site_label
_atom_site_fract_x
_atom_site_fract_y
_atom_site_fract_z
U1 0.0000 0.0000 0.0000
Tc1 0.0000 0.3657 0.5000
Tc2 0.0887 0.1775 0.3603
P1 0.0343 0.5171 0.2834
```

## Properties
- Final energy: -9.2055 eV/atom
- Volume: 15.191 Å³/atom